Entry 1:
VASP calculation (PBE) on crystalline Cu2Te2AuF2 at its relaxed geometry.

Cell: 3.527 3.527 9.652 Å, 90.00 90.00 90.00°
Atoms (fractional coordinates):
Cu 0.500 0.000 0.631
Cu 0.000 0.500 0.369
F 0.500 0.500 0.500
F 0.000 0.000 0.500
Te 0.000 0.500 0.778
Te 0.500 0.000 0.222
Au 0.500 0.500 0.000

Calculated values
Calculated density, Mg/m³: 8.54
Uncorrected energy, eV/cell: -24.206

=====

Entry 2:
VASP calculation (PBE) on crystalline CuTe2Au2F2 at its relaxed geometry.

Cell: 3.783 3.783 8.935 Å, 90.00 90.00 90.00°
Atoms (fractional coordinates):
F 0.500 0.500 0.500
F 0.000 0.000 0.500
Au 0.000 0.500 0.324
Au 0.500 0.000 0.676
Cu 0.500 0.500 0.000
Te 0.500 0.000 0.205
Te 0.000 0.500 0.795

Calculated values
Calculated density, Mg/m³: 9.75
Uncorrected energy, eV/cell: -22.228

=====

Entry 3:
VASP calculation (PBE) on crystalline Fe4Cu3Au at its relaxed geometry.

Cell: 7.414 7.414 2.629 Å, 100.12 100.12 46.66°
Atoms (fractional coordinates):
Fe 0.456 0.829 0.641
Fe 0.544 0.171 0.359
Fe 0.829 0.456 0.641
Fe 0.171 0.544 0.359
Cu 0.197 0.197 0.195
Cu 0.803 0.803 0.805
Cu 0.500 0.500 0.000
Au 0.000 0.000 0.500

Calculated values
Calculated density, Mg/m³: 9.83
Uncorrected energy, eV/cell: -43.833
Energy relative to the elements, eV per atom: 0.477

=====

Entry 4:
VASP calculation (PBE) on crystalline FeCuGeAu at its relaxed geometry.

Cell: 4.362 4.362 4.362 Å, 60.00 60.00 60.00°
Atoms (fractional coordinates):
Ge 0.000 0.000 0.000
Fe 0.250 0.250 0.250
Cu 0.750 0.750 0.750
Au 0.500 0.500 0.500

Calculated values
Calculated density, Mg/m³: 11.01
Uncorrected energy, eV/cell: -19.348

=====

Look up the uncorrected energy of the second one. -22.228 eV/cell